1.
PrAgTe3Pb: optimized geometry, PBE.

Cell: 9.2624 4.3604 9.9284 Å, 90.00 100.14 90.00°
Closest atoms and distances in Å follow each position.
Fractional positions:
Pr1 0.1669 0.2500 0.2384  7 Te 3.25-3.56, 1 Ag 3.63
Pr2 0.8331 0.7500 0.7616  7 Te 3.25-3.56, 1 Ag 3.63
Ag1 0.0777 0.2500 0.5802  4 Te 2.90-2.93, 2 Ag 2.92
Ag2 0.9223 0.7500 0.4198  4 Te 2.90-2.93, 2 Ag 2.92
Te1 0.0884 0.2500 0.8738  1 Ag 2.90
Te2 0.2436 0.7500 0.4882  3 Ag 2.91-2.93
Te3 0.3962 0.7500 0.1542  3 Pb 3.15-3.25, 2 Pr 3.25
Te4 0.6038 0.2500 0.8458  3 Pb 3.15-3.25, 2 Pr 3.25
Te5 0.7564 0.2500 0.5118  3 Ag 2.91-2.93
Te6 0.9116 0.7500 0.1262  1 Ag 2.90
Pb1 0.3410 0.7500 0.8323  6 Te 3.15-3.38
Pb2 0.6590 0.2500 0.1677  6 Te 3.15-3.38

The raw formation energy comes out at -0.7536 eV per atom.

2.
PrTlAgPb: optimized geometry, PBE.

Cell: 7.5909 7.5909 7.5909 Å, 90.00 90.00 90.00°
Closest atoms and distances in Å follow each position.
Fractional positions:
Pr1 0.0000 0.0000 0.0000  4 Tl 3.29, 4 Ag 3.29
Pr2 0.0000 0.5000 0.5000  4 Tl 3.29, 4 Ag 3.29
Pr3 0.5000 0.0000 0.5000  4 Tl 3.29, 4 Ag 3.29
Pr4 0.5000 0.5000 0.0000  4 Tl 3.29, 4 Ag 3.29
Tl1 0.2500 0.2500 0.2500  4 Pb 3.29, 4 Pr 3.29
Tl2 0.2500 0.7500 0.7500  4 Pb 3.29, 4 Pr 3.29
Tl3 0.7500 0.2500 0.7500  4 Pb 3.29, 4 Pr 3.29
Tl4 0.7500 0.7500 0.2500  4 Pb 3.29, 4 Pr 3.29
Ag1 0.2500 0.2500 0.7500  4 Pb 3.29, 4 Pr 3.29
Ag2 0.2500 0.7500 0.2500  4 Pb 3.29, 4 Pr 3.29
Ag3 0.7500 0.2500 0.2500  4 Pb 3.29, 4 Pr 3.29
Ag4 0.7500 0.7500 0.7500  4 Pb 3.29, 4 Pr 3.29
Pb1 0.0000 0.0000 0.5000  4 Ag 3.29, 4 Tl 3.29
Pb2 0.0000 0.5000 0.0000  4 Ag 3.29, 4 Tl 3.29
Pb3 0.5000 0.0000 0.0000  4 Ag 3.29, 4 Tl 3.29
Pb4 0.5000 0.5000 0.5000  4 Tl 3.29, 4 Ag 3.29

The value obtained for the density of states at the Fermi level is 9.4 states/eV per cell. The formation energy is -181 meV per atom.

3.
PrTm2Ag2Pb2: optimized geometry, PBE.

Cell: 9.1998 9.1998 9.1998 Å, 31.15 31.15 31.15°
Closest atoms and distances in Å follow each position.
Fractional positions:
Pr1 0.0000 0.0000 0.0000  6 Pb 3.39, 2 Tm 3.53
Tm1 0.1346 0.1346 0.1346  3 Ag 2.92
Tm2 0.8654 0.8654 0.8654  3 Ag 2.92
Ag1 0.4438 0.4438 0.4438  3 Tm 2.92, 1 Ag 2.95, 3 Pb 3.05
Ag2 0.5562 0.5562 0.5562  3 Tm 2.92, 1 Ag 2.95, 3 Pb 3.05
Pb1 0.2638 0.2638 0.2638  3 Ag 3.05, 4 Tm 3.32-3.39, 3 Pr 3.39
Pb2 0.7362 0.7362 0.7362  3 Ag 3.05, 4 Tm 3.32-3.39, 3 Pr 3.39

The value obtained for the density of states at the Fermi level is 3.8 states/eV per cell. The formation energy is -316 meV per atom.

4.
PrY2Ag2Pb2: optimized geometry, PBE.

Cell: 9.2886 9.2886 9.2886 Å, 31.05 31.05 31.05°
Closest atoms and distances in Å follow each position.
Fractional positions:
Pr1 0.0000 0.0000 0.0000  6 Pb 3.40, 2 Y 3.57
Y1 0.1346 0.1346 0.1346  3 Ag 2.95
Y2 0.8654 0.8654 0.8654  3 Ag 2.95
Ag1 0.4428 0.4428 0.4428  3 Y 2.95, 1 Ag 3.03, 3 Pb 3.07
Ag2 0.5572 0.5572 0.5572  3 Y 2.95, 1 Ag 3.03, 3 Pb 3.07
Pb1 0.2646 0.2646 0.2646  3 Ag 3.07, 3 Y 3.36, 3 Pr 3.40
Pb2 0.7353 0.7353 0.7353  3 Ag 3.07, 3 Y 3.36, 3 Pr 3.40

The value obtained for the density of states at the Fermi level is 3.5 states/eV per cell. The formation energy is -328 meV per atom.

5.
AgPt2Pb: optimized geometry, PBE.

Cell: 10.2472 3.3822 4.7363 Å, 90.00 113.27 90.00°
Closest atoms and distances in Å follow each position.
Fractional positions:
Ag1 0.0000 0.0000 0.0000  7 Pt 2.85-2.97, 3 Pb 2.92-3.19
Ag2 0.5000 0.5000 0.0000  7 Pt 2.85-2.97, 3 Pb 2.92-3.19
Pt1 0.2468 0.5000 0.1153  4 Pb 2.81-3.04, 2 Pt 2.85, 3 Ag 2.85-2.91
Pt2 0.4725 0.0000 0.4894  3 Pt 2.85-3.18, 4 Ag 2.87-2.97, 3 Pb 2.89-2.91
Pt3 0.7468 0.0000 0.1153  4 Pb 2.81-3.04, 2 Pt 2.85, 3 Ag 2.85-2.91
Pt4 0.9725 0.5000 0.4894  3 Pt 2.85-3.18, 4 Ag 2.87-2.97, 3 Pb 2.89-2.91
Pb1 0.2210 0.0000 0.6230  7 Pt 2.81-3.04, 1 Ag 2.92
Pb2 0.7210 0.5000 0.6230  7 Pt 2.81-3.04, 1 Ag 2.92

The value obtained for the density of states at the Fermi level is 4.4 states/eV per cell. The formation energy is 33 meV per atom.

6.
AgPt2Pb: optimized geometry, PBE.

Cell: 3.5563 3.5563 5.8818 Å, 90.00 90.00 90.00°
Closest atoms and distances in Å follow each position.
Fractional positions:
Ag1 0.0000 0.0000 0.0000  8 Pt 2.89, 2 Pb 2.94
Pt1 0.5000 0.5000 0.2409  2 Pt 2.83-3.05, 4 Ag 2.89, 4 Pb 2.94
Pt2 0.5000 0.5000 0.7591  2 Pt 2.83-3.05, 4 Ag 2.89, 4 Pb 2.94
Pb1 0.0000 0.0000 0.5000  8 Pt 2.94, 2 Ag 2.94

The value obtained for the density of states at the Fermi level is 1.6 states/eV per cell. The formation energy is 26 meV per atom.

7.
AgPt3Pb: optimized geometry, PBE.

Cell: 4.9424 4.9424 4.9424 Å, 90.00 90.00 90.00°
Closest atoms and distances in Å follow each position.
Fractional positions:
Ag1 0.0000 0.0000 0.0000  6 Pt 2.47
Pt1 0.0000 0.0000 0.5000  2 Ag 2.47
Pt2 0.0000 0.5000 0.0000  2 Ag 2.47
Pt3 0.5000 0.0000 0.0000  2 Ag 2.47
Pb1 0.5000 0.5000 0.5000  12 Pt 3.49

The value obtained for the density of states at the Fermi level is 9.3 states/eV per cell. The formation energy is 1056 meV per atom. The relative energy among the computed polymorphs comes out at 0.0000 eV/atom.

8.
AgPt2Pb2: optimized geometry, PBE.

Cell: 3.8921 3.8921 15.4743 Å, 90.00 90.00 90.00°
Closest atoms and distances in Å follow each position.
Fractional positions:
Ag1 0.0000 0.0000 0.0000  8 Pb 3.27
Ag2 0.5000 0.5000 0.5000  8 Pb 3.27
Pt1 0.0000 0.5000 0.2500  4 Pt 2.75, 4 Pb 2.87
Pt2 0.0000 0.5000 0.7500  4 Pt 2.75, 4 Pb 2.87
Pt3 0.5000 0.0000 0.2500  4 Pt 2.75, 4 Pb 2.87
Pt4 0.5000 0.0000 0.7500  4 Pt 2.75, 4 Pb 2.87
Pb1 0.0000 0.0000 0.3859  4 Pt 2.87
Pb2 0.0000 0.0000 0.6141  4 Pt 2.87
Pb3 0.5000 0.5000 0.1141  4 Pt 2.87
Pb4 0.5000 0.5000 0.8859  4 Pt 2.87

The value obtained for the density of states at the Fermi level is 4.2 states/eV per cell. The formation energy is 34 meV per atom. The relative energy among the computed polymorphs comes out at 0.0886 eV/atom.

9.
AgPt2Pb: optimized geometry, PBE.

Cell: 3.0567 3.0567 28.4824 Å, 90.00 90.00 120.00°
Closest atoms and distances in Å follow each position.
Fractional positions:
Ag1 0.0000 0.0000 0.0000  3 Pt 2.83, 6 Ag 3.06
Ag2 0.3333 0.6667 0.6667  3 Pt 2.83, 6 Ag 3.06
Ag3 0.6667 0.3333 0.3333  3 Pt 2.83, 6 Ag 3.06
Pt1 0.0000 0.0000 0.2555  9 Pt 2.80-3.06, 3 Ag 2.83
Pt2 0.0000 0.0000 0.5125  9 Pt 2.80-3.06, 3 Pb 2.95
Pt3 0.3333 0.6667 0.1791  9 Pt 2.80-3.06, 3 Pb 2.95
Pt4 0.3333 0.6667 0.9222  9 Pt 2.80-3.06, 3 Ag 2.83
Pt5 0.6667 0.3333 0.5888  9 Pt 2.80-3.06, 3 Ag 2.83
Pt6 0.6667 0.3333 0.8458  9 Pt 2.80-3.06, 3 Pb 2.95
Pb1 0.0000 0.0000 0.7629  3 Pt 2.95, 6 Pb 3.06, 3 Ag 3.26
Pb2 0.3333 0.6667 0.4296  3 Pt 2.95, 6 Pb 3.06, 3 Ag 3.26
Pb3 0.6667 0.3333 0.0963  3 Pt 2.95, 6 Pb 3.06, 3 Ag 3.26

The value obtained for the density of states at the Fermi level is 10.7 states/eV per cell. The formation energy is 202 meV per atom.

10.
AgPt2Pb2: optimized geometry, PBE.

Cell: 7.4721 7.4721 3.8454 Å, 90.00 90.00 90.00°
Closest atoms and distances in Å follow each position.
Fractional positions:
Ag1 0.0000 0.0000 0.0000  4 Pt 2.91
Ag2 0.5000 0.5000 0.0000  4 Pt 2.91
Pt1 0.1348 0.3652 0.0000  6 Pb 2.84-2.97, 1 Pt 2.85, 2 Ag 2.91
Pt2 0.3652 0.8652 0.0000  6 Pb 2.84-2.97, 1 Pt 2.85, 2 Ag 2.91
Pt3 0.6348 0.1348 0.0000  6 Pb 2.84-2.97, 1 Pt 2.85, 2 Ag 2.91
Pt4 0.8652 0.6348 0.0000  6 Pb 2.84-2.97, 1 Pt 2.85, 2 Ag 2.91
Pb1 0.1670 0.6670 0.5000  6 Pt 2.84-2.97
Pb2 0.3330 0.1670 0.5000  6 Pt 2.84-2.97
Pb3 0.6670 0.8330 0.5000  6 Pt 2.84-2.97
Pb4 0.8330 0.3330 0.5000  6 Pt 2.84-2.97

The value obtained for the density of states at the Fermi level is 4.7 states/eV per cell. The formation energy is -55 meV per atom. The relative energy among the computed polymorphs comes out at 0.0000 eV/atom.